[1]
Computed, not measured: a geometry-optimized Li4InAg structure at the PBE level of DFT.

Structure (POSCAR):
```
Li4InAg
1.0
4.621 -0.002 0.000
0.001 5.277 1.938
-0.001 -0.050 8.484
Li In Ag
8 2 2
Direct
0.250 0.792 0.418
0.250 0.958 0.084
0.750 0.708 0.582
0.750 0.543 0.916
0.750 0.208 0.582
0.250 0.292 0.418
0.750 0.042 0.916
0.250 0.457 0.084
0.750 0.626 0.247
0.250 0.374 0.753
0.750 0.124 0.252
0.250 0.876 0.748
```

DOS(E_F) (states/eV per cell): 3.5
Symmetry: P2_1/m, No. 11
Energy of formation from the pure elements (meV per atom): -233.8

=====

[2]
Computed, not measured: a geometry-optimized Na3ThBi2S6 structure at the PBE level of DFT.

Structure (POSCAR):
```
Na3ThBi2S6
1.0
-5.995 -2.183 3.267
4.810 -5.040 -1.684
3.312 3.295 5.327
Na Th Bi S
3 1 2 6
Direct
0.173 0.827 0.500
0.827 0.173 0.500
0.500 0.500 0.500
0.000 0.000 0.000
0.333 0.667 0.000
0.667 0.333 0.000
0.935 0.603 0.765
0.760 0.760 0.230
0.065 0.397 0.235
0.603 0.935 0.765
0.240 0.240 0.770
0.397 0.065 0.235
```

DOS(E_F) (states/eV per cell): 5.0
Symmetry: C2/m, No. 12
ΔE_f (raw) (meV/atom): -1041.4

=====

[3]
Computed, not measured: a geometry-optimized Tl2CuAgSe2 structure at the PBE level of DFT.

Structure (POSCAR):
```
Tl2CuAgSe2
1.0
-0.464 0.600 -6.014
4.429 -4.106 -0.751
-7.587 -4.261 3.214
Tl Cu Ag Se
4 2 2 4
Direct
0.400 0.168 0.337
0.600 0.832 0.663
0.063 0.332 0.663
0.937 0.668 0.337
0.500 0.750 0.000
0.500 0.250 0.000
0.000 0.750 0.000
0.000 0.250 0.000
0.813 0.096 0.192
0.380 0.596 0.192
0.620 0.404 0.808
0.187 0.904 0.808
```

Symmetry: Ibam, No. 72
ΔE_f (raw) (meV/atom): -235.4

=====

[4]
Computed, not measured: a geometry-optimized NiOs structure at the PBE level of DFT.

Structure (POSCAR):
```
NiOs
1.0
-1.069 -2.394 0.061
2.272 -1.035 -0.803
1.066 -0.386 3.514
Ni Os
1 1
Direct
0.000 0.000 0.000
0.500 0.500 0.500
```

DOS(E_F) (states/eV per cell): 2.4
Symmetry: P4/mmm, No. 123
Energy of formation from the pure elements (meV per atom): 233.4

=====

[5]
Computed, not measured: a geometry-optimized Nd12CuNi6 structure at the PBE level of DFT.

Structure (POSCAR):
```
Nd12CuNi6
1.0
-1.341 1.138 8.073
-3.526 -7.418 -0.905
7.927 -2.316 0.277
Nd Cu Ni
12 1 6
Direct
0.819 0.590 0.426
0.426 0.819 0.590
0.590 0.426 0.819
0.181 0.410 0.574
0.574 0.181 0.410
0.410 0.574 0.181
0.093 0.940 0.325
0.060 0.675 0.907
0.675 0.907 0.060
0.907 0.060 0.675
0.940 0.325 0.093
0.325 0.093 0.940
0.000 0.000 0.000
0.686 0.869 0.388
0.612 0.314 0.131
0.131 0.612 0.314
0.314 0.131 0.612
0.388 0.686 0.869
0.869 0.388 0.686
```

DOS(E_F) (states/eV per cell): 24.3
Symmetry: R-3, No. 148
Energy of formation from the pure elements (meV per atom): -71.7

=====

[6]
Computed, not measured: a geometry-optimized Zn5CuPt4 structure at the PBE level of DFT.

Structure (POSCAR):
```
Zn5CuPt4
1.0
-0.180 2.135 1.916
1.283 -1.657 1.968
15.520 5.920 -5.135
Zn Cu Pt
5 1 4
Direct
0.500 0.500 0.093
0.500 0.500 0.296
0.500 0.500 0.500
0.500 0.500 0.704
0.500 0.500 0.907
0.000 0.000 0.000
0.000 0.000 0.193
0.000 0.000 0.398
0.000 0.000 0.602
0.000 0.000 0.807
```

DOS(E_F) (states/eV per cell): 1.8
Symmetry: P4/mmm, No. 123
Energy of formation from the pure elements (meV per atom): -467.2

=====

[7]
Computed, not measured: a geometry-optimized TcTe2N2 structure at the PBE level of DFT.

Structure (POSCAR):
```
TcTe2N2
1.0
-3.630 -0.537 -1.575
1.633 -1.869 -3.127
-0.468 -5.158 2.838
Te Tc N
2 1 2
Direct
0.500 0.500 0.500
0.000 0.000 0.500
0.000 0.000 0.000
0.000 0.500 0.000
0.500 0.000 0.000
```

DOS(E_F) (states/eV per cell): 4.3
Symmetry: P4/mmm, No. 123
ΔE_f (raw) (meV/atom): 800.5

=====

[8]
Computed, not measured: a geometry-optimized Al2InAg structure at the PBE level of DFT.

Structure (POSCAR):
```
Al2InAg
1.0
-1.274 -2.338 1.179
1.210 -2.277 -3.208
5.511 -1.439 3.100
Al Ag In
2 1 1
Direct
0.000 0.000 0.972
0.000 0.000 0.528
0.500 0.500 0.750
0.500 0.500 0.250
```

DOS(E_F) (states/eV per cell): 1.5
Symmetry: Pmmm, No. 47
Energy of formation from the pure elements (meV per atom): 121.3